The following is a PBE-GGA calculation of a geometry-optimized TaHgNO structure, from OQMD.

Cell: 4.056 4.056 6.774 Å, 90.00 90.00 90.00°
Sites, in units of the cell vectors:
Hg  0.250  0.250  0.160
Hg  0.750  0.750  0.840
N  0.750  0.750  0.412
N  0.250  0.250  0.588
O  0.750  0.250  0.000
O  0.250  0.750  0.000
Ta  0.750  0.250  0.500
Ta  0.250  0.750  0.500

Values from the calculation:
- Uncorrected energy: -6.593 eV/atom
- Excess energy over the best structure of this formula in the dataset: 908 meV per atom
- Magnetization: 0.00 μB/f.u.
- Space-group type: P4/nmm, No. 129